[1]
The following is a PBE-GGA calculation of PmSb2Rh5 after structural relaxation, from Alexandria.

Unit cell a=3.949 b=7.243 c=10.466 alpha=90.00 beta=90.00 gamma=90.00
Space group Immm (No. 71)
Inequivalent atoms, fractional coordinates:
Pm 0.000 0.000 0.000
Sb 0.000 0.500 0.246
Rh 0.000 0.195 0.366
Rh 0.000 0.500 0.000

Results
**Formation energy (no corrections)**: -0.481 eV/atom
**Calculated volume**: 299 Å³/cell
**M_tot**: 0.000 μB/f.u.
**Uncorrected energy**: -107.2 eV per cell

---

[2]
The following is a PBE-GGA calculation of Pm3Sb4Rh8 after structural relaxation, from Alexandria.

Unit cell a=13.137 b=13.137 c=13.137 alpha=90.00 beta=90.00 gamma=90.00
Space group Fm-3m (No. 225)
Inequivalent atoms, fractional coordinates:
Pm 0.000 0.000 0.228
Sb 0.000 0.000 0.000
Sb 0.000 0.000 0.500
Sb 0.000 0.250 0.250
Rh 0.121 0.121 0.379
Rh 0.167 0.167 0.167

Results
**Formation energy (no corrections)**: -0.698 eV/atom
**Calculated volume**: 2267 Å³/cell
**M_tot**: 0.000 μB/f.u.
**Uncorrected energy**: -800.1 eV per cell

---

[3]
The following is a PBE-GGA calculation of PmSb2Rh after structural relaxation, from Alexandria.

Unit cell a=7.179 b=7.179 c=7.179 alpha=90.00 beta=90.00 gamma=90.00
Space group Fm-3m (No. 225)
Inequivalent atoms, fractional coordinates:
Pm 0.000 0.000 0.000
Sb 0.250 0.250 0.250
Rh 0.000 0.000 0.500

Results
**Formation energy (no corrections)**: -0.357 eV/atom
**Calculated volume**: 370 Å³/cell
**M_tot**: 0.001 μB/f.u.
**Uncorrected energy**: -87.1 eV per cell

---

[4]
The following is a PBE-GGA calculation of Pm2SbRh after structural relaxation, from Alexandria.

Unit cell a=7.404 b=7.404 c=7.404 alpha=90.00 beta=90.00 gamma=90.00
Space group Fm-3m (No. 225)
Inequivalent atoms, fractional coordinates:
Pm 0.250 0.250 0.250
Sb 0.000 0.000 0.000
Rh 0.000 0.000 0.500

Results
**Formation energy (no corrections)**: -0.692 eV/atom
**Calculated volume**: 406 Å³/cell
**M_tot**: 0.000 μB/f.u.
**Uncorrected energy**: -95.0 eV per cell